# CrSbN2O | the Alexandria database | GGA+U | optimized geometry
# Total DFT energy (no corrections) (eV per atom): -6.08
# Symmetry: No. 123
# Crystal system: tetragonal
data_CrSbN2O
_chemical_formula_sum 'Cr1 Sb1 N2 O1'
_space_group_name_H-M_alt 'P 1'
_space_group_IT_number 1
_space_group_name_Hall 'P 1'
_cell_length_a 4.062
_cell_length_b 4.062
_cell_length_c 3.920
_cell_angle_alpha 90.00
_cell_angle_beta 90.00
_cell_angle_gamma 90.00
loop_
_atom_site_label
_atom_site_type_symbol
_atom_site_fract_x
_atom_site_fract_y
_atom_site_fract_z
Cr1 Cr 0.000 0.000 0.000
Sb1 Sb 0.500 0.500 0.500
N1 N 0.000 0.500 0.500
N2 N 0.500 0.000 0.500
O1 O 0.500 0.500 0.000